No. 1
This record from the Alexandria database describes a geometry-optimized PmPr4H8 structure. The functional is PBE. Values from VASP.

Geometry as Quantum ESPRESSO input:
```
&SYSTEM
  ibrav = 0, nat = 13, ntyp = 3
/
ATOMIC_SPECIES
Pm 145.00 Pm.upf
Pr 140.91 Pr.upf
H 1.01 H.upf
ATOMIC_POSITIONS angstrom
Pm 2.978 2.978 2.978
Pr 0.000 2.978 2.978
Pr 0.000 0.000 0.000
Pr 2.978 2.978 0.000
Pr 2.978 0.000 2.978
H 1.568 4.389 4.389
H 4.389 1.568 4.389
H 4.389 4.389 1.568
H 1.568 1.568 1.568
H 1.568 4.389 1.568
H 4.389 1.568 1.568
H 4.389 4.389 4.389
H 1.568 1.568 4.389
CELL_PARAMETERS angstrom
5.957 0.000 0.000
0.000 5.957 0.000
0.000 0.000 5.957
```

SG: No. 221



No. 2
This record from the Alexandria database describes a geometry-optimized Pm4Pr2H structure. The functional is PBE. Values from VASP.

Geometry as Quantum ESPRESSO input:
```
&SYSTEM
  ibrav = 0, nat = 7, ntyp = 3
/
ATOMIC_SPECIES
Pr 140.91 Pr.upf
H 1.01 H.upf
Pm 145.00 Pm.upf
ATOMIC_POSITIONS angstrom
Pr 2.486 2.486 2.639
Pr 0.000 0.000 6.281
H 0.000 0.000 0.000
Pm 2.486 2.486 6.229
Pm 0.000 0.000 2.690
Pm 0.000 2.486 0.000
Pm 2.486 0.000 0.000
CELL_PARAMETERS angstrom
4.971 0.000 0.000
0.000 4.971 0.000
-2.486 -2.486 8.919
```

SG: No. 139



No. 3
This record from the Alexandria database describes a geometry-optimized Pm2PrH7 structure. The functional is PBE. Values from VASP.

Geometry as Quantum ESPRESSO input:
```
&SYSTEM
  ibrav = 0, nat = 10, ntyp = 3
/
ATOMIC_SPECIES
Pm 145.00 Pm.upf
Pr 140.91 Pr.upf
H 1.01 H.upf
ATOMIC_POSITIONS angstrom
Pm 2.777 -2.616 0.426
Pm 3.491 -1.295 3.955
Pr 0.000 0.000 0.000
H 2.347 -0.455 -0.232
H 5.723 -1.707 3.593
H 0.544 -2.203 0.788
H 1.030 -1.968 -1.553
H 2.232 -2.829 2.700
H 3.920 -3.455 4.613
H 4.035 -1.081 1.681
CELL_PARAMETERS angstrom
-0.773 -3.716 -0.534
2.833 -0.220 -2.572
4.208 0.025 7.487
```

SG: No. 139



Quick rundown of VASP energy, same order as above: -4.100, -4.503, -4.391 eV per atom